# PBE ScAl2Pb, relaxed
data_ScAl2Pb
_chemical_formula_sum 'Sc4 Al8 Pb4'
_cell_length_a 8.003
_cell_length_b 8.003
_cell_length_c 5.827
_cell_angle_alpha 90.00
_cell_angle_beta 90.00
_cell_angle_gamma 90.00
_symmetry_space_group_name_H-M 'I -4 2 d'
_symmetry_Int_Tables_number 122
_symmetry_space_group_name_Hall 'I -4 2bw'
loop_
_atom_site_label
_atom_site_type_symbol
_atom_site_fract_x
_atom_site_fract_y
_atom_site_fract_z
_atom_site_occupancy
Sc1 Sc 0.000 0.000 0.000 1
Al1 Al 0.238 0.250 0.625 1
Pb1 Pb 0.000 0.000 0.500 1
# Energy of formation ... 0.12 eV/atom

***

# PBE Cd2AgSe, relaxed
data_Cd2AgSe
_chemical_formula_sum 'Cd8 Ag4 Se4'
_cell_length_a 7.079
_cell_length_b 7.079
_cell_length_c 7.079
_cell_angle_alpha 90.00
_cell_angle_beta 90.00
_cell_angle_gamma 90.00
_symmetry_space_group_name_H-M 'F -4 3 m'
_symmetry_Int_Tables_number 216
_symmetry_space_group_name_Hall 'F -4 2 3'
loop_
_atom_site_label
_atom_site_type_symbol
_atom_site_fract_x
_atom_site_fract_y
_atom_site_fract_z
_atom_site_occupancy
Cd1 Cd 0.000 0.000 0.000 1
Cd2 Cd 0.250 0.250 0.250 1
Ag1 Ag 0.250 0.250 0.750 1
Se1 Se 0.000 0.000 0.500 1
# Raw formation energy ... 102 meV per atom

***

Compound: NdH4Ir
Source: Alexandria
Functional: PBE
Structure: relaxed

Cell and atoms, written as CIF:
```
data_NdH4Ir
_chemical_formula_sum 'Nd4 H16 Ir4'
_cell_length_a 8.032
_cell_length_b 4.522
_cell_length_c 7.286
_cell_angle_alpha 90.00
_cell_angle_beta 107.87
_cell_angle_gamma 90.00
_symmetry_space_group_name_H-M 'C 1 2/c 1'
_symmetry_Int_Tables_number 15
_symmetry_space_group_name_Hall '-C 2yc'
loop_
_atom_site_label
_atom_site_type_symbol
_atom_site_fract_x
_atom_site_fract_y
_atom_site_fract_z
_atom_site_occupancy
Nd1 Nd 0.000 0.212 0.250 1
H1 H 0.033 0.299 0.918 1
H2 H 0.208 0.062 0.604 1
Ir1 Ir 0.250 0.250 0.000 1
```

***

# PBE Re2HgCl, relaxed
data_Re2HgCl
_chemical_formula_sum 'Re2 Hg1 Cl1'
_cell_length_a 3.104
_cell_length_b 3.104
_cell_length_c 6.692
_cell_angle_alpha 90.00
_cell_angle_beta 90.00
_cell_angle_gamma 90.00
_symmetry_space_group_name_H-M 'P 4/m m m'
_symmetry_Int_Tables_number 123
_symmetry_space_group_name_Hall '-P 4 2'
loop_
_atom_site_label
_atom_site_type_symbol
_atom_site_fract_x
_atom_site_fract_y
_atom_site_fract_z
_atom_site_occupancy
Re1 Re 0.000 0.000 0.205 1
Hg1 Hg 0.500 0.500 0.500 1
Cl1 Cl 0.500 0.500 0.000 1
# E above lowest polymorph ... 1.2837 eV/atom
# Raw formation energy ... 1466 meV per atom

***

# PBE Ca2CoOs, relaxed
data_Ca2CoOs
_chemical_formula_sum 'Ca2 Co1 Os1'
_cell_length_a 3.283
_cell_length_b 3.283
_cell_length_c 8.437
_cell_angle_alpha 90.00
_cell_angle_beta 90.00
_cell_angle_gamma 90.00
_symmetry_space_group_name_H-M 'P 4 m m'
_symmetry_Int_Tables_number 99
_symmetry_space_group_name_Hall 'P 4 -2'
loop_
_atom_site_label
_atom_site_type_symbol
_atom_site_fract_x
_atom_site_fract_y
_atom_site_fract_z
_atom_site_occupancy
Ca1 Ca 0.000 0.000 0.000 1
Ca2 Ca 0.500 0.500 0.405 1
Co1 Co 0.000 0.000 0.650 1
Os1 Os 0.500 0.500 0.753 1
# Energy of formation ... 0.32 eV/atom
# E above lowest polymorph ... 0.1906 eV/atom

***

# PBE In3GaS, relaxed
data_In3GaS
_chemical_formula_sum 'In3 Ga1 S1'
_cell_length_a 5.268
_cell_length_b 5.268
_cell_length_c 5.268
_cell_angle_alpha 90.00
_cell_angle_beta 90.00
_cell_angle_gamma 90.00
_symmetry_space_group_name_H-M 'P m -3 m'
_symmetry_Int_Tables_number 221
_symmetry_space_group_name_Hall '-P 4 2 3'
loop_
_atom_site_label
_atom_site_type_symbol
_atom_site_fract_x
_atom_site_fract_y
_atom_site_fract_z
_atom_site_occupancy
In1 In 0.000 0.000 0.500 1
Ga1 Ga 0.000 0.000 0.000 1
S1 S 0.500 0.500 0.500 1
# E above lowest polymorph ... 0.0000 eV/atom
# Raw formation energy ... 243 meV per atom

***

| no. | total DFT energy (no corrections) (eV/atom) |
| --- | --- |
| 1 | -4.26 |
| 2 | -1.94 |
| 3 | -5.00 |
| 4 | -5.30 |
| 5 | -5.26 |
| 6 | -2.83 |